[1]
## TeC4 (PBE)

Data for a geometry-optimized TeC4 structure.

Summary:
E above lowest polymorph	2.519	eV/atom
Fermi-level density of states	3.072	states/eV/f.u.
mass density	4.1	g cm⁻³
SG	No. 221
calculated total energy	-3.761	eV/atom
formation energy (no corrections)	4.25	eV/atom
calculated volume	71.73	Å³ per cell

a = 4.155 Å, b = 4.155 Å, c = 4.155 Å
α = 90.00°, β = 90.00°, γ = 90.00°
Atoms (fractional coordinates):
C (0.500, 0.500, 0.000)
C (0.000, 0.500, 0.500)
C (0.500, 0.000, 0.500)
C (0.000, 0.000, 0.000)
Te (0.500, 0.500, 0.500)

[2]
## ZrTc2Sb (PBE)

Data for a geometry-optimized ZrTc2Sb structure.

Summary:
Fermi-level density of states	3.110	states/eV/f.u.
mass density	9.2	g cm⁻³
SG	No. 10
calculated total energy	-8.298	eV/atom
formation energy (no corrections)	0.05	eV/atom
calculated volume	74.06	Å³ per cell

a = 4.621 Å, b = 3.116 Å, c = 5.144 Å
α = 88.97°, β = 90.00°, γ = 90.00°
Atoms (fractional coordinates):
Sb (0.500, 0.750, 0.750)
Tc (0.000, 0.592, 0.480)
Tc (0.000, 0.908, 0.020)
Zr (0.500, 0.250, 0.250)

[3]
## Ti2Te3 (PBE)

Data for a geometry-optimized Ti2Te3 structure.

Summary:
Fermi-level density of states	3.836	states/eV/f.u.
mass density	6.0	g cm⁻³
SG	No. 43
calculated total energy	-5.683	eV/atom
formation energy (no corrections)	-0.64	eV/atom
calculated volume	265.26	Å³ per cell

a = 7.822 Å, b = 6.873 Å, c = 7.162 Å
α = 71.90°, β = 56.90°, γ = 55.32°
Atoms (fractional coordinates):
Ti (0.749, 0.911, 0.244)
Ti (0.410, 0.589, 0.744)
Ti (0.743, 0.411, 0.256)
Ti (0.904, 0.089, 0.756)
Te (0.489, 0.371, 0.120)
Te (0.359, 0.871, 0.380)
Te (0.129, 0.000, 0.000)
Te (0.879, 0.500, 0.500)
Te (0.610, 0.129, 0.620)
Te (0.979, 0.629, 0.880)

[4]
## CuTcTe2 (PBE)

Data for a geometry-optimized CuTcTe2 structure.

Summary:
E above lowest polymorph	0.084	eV/atom
Fermi-level density of states	2.750	states/eV/f.u.
mass density	6.7	g cm⁻³
SG	No. 166
calculated total energy	-4.965	eV/atom
formation energy (no corrections)	0.22	eV/atom
calculated volume	103.61	Å³ per cell

a = 8.376 Å, b = 8.376 Å, c = 8.376 Å
α = 26.57°, β = 26.57°, γ = 26.57°
Atoms (fractional coordinates):
Te (0.102, 0.102, 0.102)
Te (0.898, 0.898, 0.898)
Cu (0.000, 0.000, 0.000)
Tc (0.500, 0.500, 0.500)

[5]
## K4BrCl2F (PBE)

Data for a geometry-optimized K4BrCl2F structure.

Summary:
Fermi-level density of states	0.000	states/eV/f.u.
mass density	2.2	g cm⁻³
SG	No. 74
calculated total energy	-3.496	eV/atom
formation energy (no corrections)	-2.04	eV/atom
calculated volume	492.26	Å³ per cell

a = 8.855 Å, b = 8.855 Å, c = 8.885 Å
α = 120.10°, β = 120.10°, γ = 89.73°
Atoms (fractional coordinates):
K (0.761, 0.222, 0.992)
K (0.254, 0.246, 0.015)
K (0.254, 0.246, 0.485)
K (0.746, 0.754, 0.985)
K (0.722, 0.261, 0.492)
K (0.746, 0.754, 0.515)
K (0.239, 0.778, 0.008)
K (0.278, 0.739, 0.508)
Cl (0.500, 0.500, 0.000)
Cl (0.000, 0.000, 0.500)
Cl (0.500, 0.000, 0.500)
Cl (0.500, 0.000, 0.000)
F (0.000, 0.000, 0.000)
F (0.500, 0.500, 0.500)
Br (0.000, 0.500, 0.000)
Br (0.000, 0.500, 0.500)

[6]
## CuIrPdO6 (PBE)

Data for a geometry-optimized CuIrPdO6 structure.

Summary:
Fermi-level density of states	6.506	states/eV/f.u.
mass density	7.7	g cm⁻³
SG	No. 163
calculated total energy	-5.739	eV/atom
formation energy (no corrections)	-0.42	eV/atom
calculated volume	198.62	Å³ per cell

a = 5.141 Å, b = 5.141 Å, c = 8.679 Å
α = 90.00°, β = 90.00°, γ = 120.00°
Atoms (fractional coordinates):
O (0.653, 0.011, 0.375)
O (0.358, 0.347, 0.375)
O (0.642, 0.653, 0.625)
O (0.011, 0.358, 0.625)
O (0.989, 0.642, 0.375)
O (0.642, 0.989, 0.875)
O (0.358, 0.011, 0.125)
O (0.011, 0.653, 0.875)
O (0.989, 0.347, 0.125)
O (0.347, 0.989, 0.625)
O (0.347, 0.358, 0.875)
O (0.653, 0.642, 0.125)
Pd (0.333, 0.667, 0.250)
Pd (0.667, 0.333, 0.750)
Cu (0.000, 0.000, 0.000)
Cu (0.000, 0.000, 0.500)
Ir (0.333, 0.667, 0.750)
Ir (0.667, 0.333, 0.250)

[7]
## AcDyH6Ru2 (PBE)

Data for a geometry-optimized AcDyH6Ru2 structure.

Summary:
Fermi-level density of states	4.974	states/eV/f.u.
mass density	8.6	g cm⁻³
SG	No. 166
calculated total energy	-5.106	eV/atom
calculated volume	115.84	Å³ per cell

a = 4.915 Å, b = 4.915 Å, c = 6.222 Å
α = 66.73°, β = 66.73°, γ = 60.00°
Atoms (fractional coordinates):
Ru (0.797, 0.797, 0.610)
Ru (0.203, 0.203, 0.390)
H (0.966, 0.421, 0.192)
H (0.421, 0.966, 0.192)
H (0.034, 0.579, 0.808)
H (0.421, 0.421, 0.192)
H (0.579, 0.579, 0.808)
H (0.579, 0.034, 0.808)
Ac (0.000, 0.000, 0.000)
Dy (0.500, 0.500, 0.500)